No. 1
DFT (PBE) results for a relaxed K2IrCl crystal.

Uncorrected formation energy in eV per atom: 0.052
Fermi-level density of states in states/eV per cell: 2.35
Space group: No. 99

Geometry as CIF:
```
data_K2IrCl
_cell_length_a 3.334
_cell_length_b 3.334
_cell_length_c 10.164
_cell_angle_alpha 90.00
_cell_angle_beta 90.00
_cell_angle_gamma 90.00
_symmetry_space_group_name_H-M 'P 1'
_symmetry_Int_Tables_number 1
loop_
_symmetry_equiv_pos_as_xyz
'x,y,z'
loop_
_atom_site_label
_atom_site_type_symbol
_atom_site_fract_x
_atom_site_fract_y
_atom_site_fract_z
_atom_site_occupancy
Ir1 Ir 0.500 0.500 0.766 1
K1 K 0.500 0.500 0.455 1
K2 K 0.000 0.000 0.996 1
Cl1 Cl 0.000 0.000 0.282 1
```

=====

No. 2
DFT (PBE) results for a relaxed K2IrCl crystal.

Uncorrected formation energy in eV per atom: 0.043
Fermi-level density of states in states/eV per cell: 5.32
Space group: No. 122

Geometry as CIF:
```
data_K2IrCl
_cell_length_a 11.806
_cell_length_b 11.806
_cell_length_c 8.655
_cell_angle_alpha 47.00
_cell_angle_beta 47.00
_cell_angle_gamma 90.00
_symmetry_space_group_name_H-M 'P 1'
_symmetry_Int_Tables_number 1
loop_
_symmetry_equiv_pos_as_xyz
'x,y,z'
loop_
_atom_site_label
_atom_site_type_symbol
_atom_site_fract_x
_atom_site_fract_y
_atom_site_fract_z
_atom_site_occupancy
K1 K 0.375 0.581 0.750 1
Ir1 Ir 0.750 0.250 0.500 1
K2 K 0.419 0.125 0.250 1
Ir2 Ir 0.000 0.000 0.000 1
K3 K 0.331 0.625 0.250 1
Cl1 Cl 0.250 0.750 0.500 1
Cl2 Cl 0.500 0.500 0.000 1
K4 K 0.875 0.669 0.750 1
```

=====

No. 3
DFT (PBE) results for a relaxed KIrCl2 crystal.

Uncorrected formation energy in eV per atom: -0.441
Fermi-level density of states in states/eV per cell: 2.46
Space group: No. 6

Geometry as CIF:
```
data_KIrCl2
_cell_length_a 4.606
_cell_length_b 4.768
_cell_length_c 4.605
_cell_angle_alpha 89.96
_cell_angle_beta 90.00
_cell_angle_gamma 90.00
_symmetry_space_group_name_H-M 'P 1'
_symmetry_Int_Tables_number 1
loop_
_symmetry_equiv_pos_as_xyz
'x,y,z'
loop_
_atom_site_label
_atom_site_type_symbol
_atom_site_fract_x
_atom_site_fract_y
_atom_site_fract_z
_atom_site_occupancy
Cl1 Cl 0.500 0.281 0.375 1
Ir1 Ir 0.000 0.167 0.375 1
K1 K 0.500 0.771 0.876 1
Cl2 Cl 0.000 0.281 0.875 1
```

=====

Question: Which value of Fermi-level density of states does entry 3 give?
Answer: 2.46 states/eV per cell